Entry from Alexandria: Pu6Pa12In after structural relaxation (PBE-GGA).

Space group: R-3m
Density of states at the Fermi level, states/eV/atom: 2.16
ΔE_f, eV/atom: 0.321

Cell lengths 8.271, 8.271, 8.271 Å; angles 107.03, 107.03, 107.03 degrees
Sites, in units of the cell vectors:
Pu: 0.273 0.273 0.720
Pu: 0.273 0.720 0.273
Pu: 0.280 0.727 0.727
Pu: 0.720 0.273 0.273
Pu: 0.727 0.280 0.727
Pu: 0.727 0.727 0.280
Pa: 0.118 0.500 0.882
Pa: 0.118 0.882 0.500
Pa: 0.167 0.417 0.417
Pa: 0.417 0.167 0.417
Pa: 0.417 0.417 0.167
Pa: 0.500 0.118 0.882
Pa: 0.500 0.882 0.118
Pa: 0.583 0.583 0.833
Pa: 0.583 0.833 0.583
Pa: 0.833 0.583 0.583
Pa: 0.882 0.118 0.500
Pa: 0.882 0.500 0.118
In: 0.000 0.000 0.000


Entry from Alexandria: BaLi2HPb after structural relaxation (PBE-GGA).

Space group: P4/mmm
Density of states at the Fermi level, states/eV/atom: 0.87
Relative energy among the computed polymorphs, meV per atom: 169.6

Cell lengths 4.945, 4.945, 5.173 Å; angles 90.00, 90.00, 90.00 degrees
Sites, in units of the cell vectors:
Ba: 0.000 0.000 0.000
Li: 0.000 0.500 0.500
Li: 0.500 0.000 0.500
H: 0.000 0.000 0.500
Pb: 0.500 0.500 0.000


Entry from Alexandria: NaNb2AgSe after structural relaxation (PBE-GGA).

Space group: P4/mmm
Density of states at the Fermi level, states/eV/atom: 1.11
Energy relative to the elements, uncorrected, eV per formula unit: 6.6

Cell lengths 5.063, 5.063, 5.049 Å; angles 90.00, 90.00, 90.00 degrees
Sites, in units of the cell vectors:
Na: 0.000 0.000 0.000
Nb: 0.000 0.500 0.500
Nb: 0.500 0.000 0.500
Ag: 0.000 0.000 0.500
Se: 0.500 0.500 0.000


Entry from Alexandria: HgMoRh after structural relaxation (PBE-GGA).

Space group: F-43m
Density of states at the Fermi level, states/eV/atom: 2.12
ΔE_f, eV/atom: 0.556
Relative energy among the computed polymorphs, meV per atom: 416.9

Cell lengths 4.349, 4.349, 4.349 Å; angles 60.00, 60.00, 60.00 degrees
Sites, in units of the cell vectors:
Hg: 0.000 0.000 0.000
Mo: 0.500 0.500 0.500
Rh: 0.250 0.250 0.250


Entry from Alexandria: K5InS4 after structural relaxation (PBE-GGA).

Space group: C2/m
Energy relative to the elements, uncorrected, eV per formula unit: -8.3

Cell lengths 9.823, 9.823, 8.142 Å; angles 114.39, 114.39, 25.85 degrees
Sites, in units of the cell vectors:
K: 0.000 0.000 0.000
K: 0.329 0.329 0.080
K: 0.329 0.329 0.577
K: 0.671 0.671 0.423
K: 0.671 0.671 0.920
In: 0.000 0.000 0.500
S: 0.173 0.173 0.674
S: 0.500 0.500 0.279
S: 0.500 0.500 0.721
S: 0.827 0.827 0.326


Entry from Alexandria: Ca2AlAu after structural relaxation (PBE-GGA).

Space group: F-43m
Density of states at the Fermi level, states/eV/atom: 0.13
ΔE_f, eV/atom: -0.366

Cell lengths 5.004, 5.004, 5.004 Å; angles 60.00, 60.00, 60.00 degrees
Sites, in units of the cell vectors:
Ca: 0.000 0.000 0.000
Ca: 0.250 0.250 0.250
Al: 0.500 0.500 0.500
Au: 0.750 0.750 0.750


Repeat the third record exactly.
Entry from Alexandria: NaNb2AgSe after structural relaxation (PBE-GGA).

Space group: P4/mmm
Density of states at the Fermi level, states/eV/atom: 1.11
Energy relative to the elements, uncorrected, eV per formula unit: 6.6

Cell lengths 5.063, 5.063, 5.049 Å; angles 90.00, 90.00, 90.00 degrees
Sites, in units of the cell vectors:
Na: 0.000 0.000 0.000
Nb: 0.000 0.500 0.500
Nb: 0.500 0.000 0.500
Ag: 0.000 0.000 0.500
Se: 0.500 0.500 0.000